[1]
Computed, not measured: CuNiS2 after structural relaxation at the PBE level of DFT.

Properties
Calculated total energy ... -4.810 eV per atom

Cell: 3.336 6.287 5.901 Å, 90.00 89.96 89.99°
Fractional positions:
S: 0.742 0.090 0.960
S: 0.741 0.348 0.372
S: 0.242 0.810 0.460
S: 0.241 0.551 0.872
Cu: 0.740 0.048 0.582
Cu: 0.241 0.851 0.082
Ni: 0.742 0.618 0.628
Ni: 0.242 0.281 0.128

[2]
Computed, not measured: CuNiS2 after structural relaxation at the PBE level of DFT.

Properties
Calculated total energy ... -4.800 eV per atom

Cell: 3.646 6.273 6.259 Å, 80.66 89.94 106.92°
Fractional positions:
Ni: 0.325 0.265 0.974
Ni: 0.073 0.759 0.729
Cu: 0.575 0.764 0.229
Cu: 0.824 0.261 0.482
S: 0.384 0.382 0.284
S: 0.632 0.877 0.555
S: 0.889 0.391 0.803
S: 0.143 0.898 0.029